(1)
Na2Ce4Bi3O2 | PBE-GGA | optimized geometry

Structure (POSCAR):
```
Na2Ce4Bi3O2
1.0
4.8248 0.0000 0.0000
0.0000 4.8248 0.0000
-2.4124 -2.4124 13.2422
Na Ce Bi O
2 4 3 2
direct
0.2974 0.2974 0.5949 Na
0.7026 0.7026 0.4051 Na
0.4124 0.9124 0.8247 Ce
0.9124 0.4124 0.8247 Ce
0.0876 0.5876 0.1753 Ce
0.5876 0.0876 0.1753 Ce
0.0000 0.0000 0.0000 Bi
0.1736 0.1736 0.3471 Bi
0.8264 0.8264 0.6529 Bi
0.4088 0.4088 0.8177 O
0.5912 0.5912 0.1823 O
```

Output
**E**: -62.659 eV/cell

=====

(2)
NaCeBiO6 | PBE-GGA | optimized geometry

Structure (POSCAR):
```
NaCeBiO6
1.0
4.7957 0.0000 0.0000
0.0000 5.7909 0.0000
0.0000 -2.8954 5.0151
Na Ce Bi O
1 1 1 6
direct
0.5000 0.6667 0.3333 Na
0.0000 0.3333 0.6667 Ce
0.5000 0.0000 0.0000 Bi
0.7396 0.6759 0.7053 O
0.7396 0.2947 0.9706 O
0.7396 0.0294 0.3241 O
0.2604 0.2947 0.3241 O
0.2604 0.6759 0.9706 O
0.2604 0.0294 0.7053 O
```

Output
**E**: -53.733 eV/cell

=====

(3)
Na2CeBiO6 | PBE-GGA | optimized geometry

Structure (POSCAR):
```
Na2CeBiO6
1.0
5.8617 0.0000 -0.0232
0.0000 6.0084 0.0000
0.0184 0.0000 8.3238
Na Ce Bi O
4 2 2 12
direct
0.0101 0.9607 0.2530 Na
0.5101 0.5393 0.7530 Na
0.9899 0.0393 0.7470 Na
0.4899 0.4607 0.2470 Na
0.5000 0.0000 0.0000 Ce
0.0000 0.5000 0.5000 Ce
0.5000 0.0000 0.5000 Bi
0.0000 0.5000 0.0000 Bi
0.2926 0.7007 0.0511 O
0.7926 0.7993 0.5511 O
0.7074 0.2993 0.9489 O
0.2074 0.2007 0.4489 O
0.3053 0.7115 0.4416 O
0.8053 0.7885 0.9416 O
0.6947 0.2885 0.5584 O
0.1947 0.2115 0.0584 O
0.8933 0.5440 0.2437 O
0.3933 0.9560 0.7437 O
0.1067 0.4560 0.7563 O
0.6067 0.0440 0.2563 O
```

Output
**E**: -118.811 eV/cell

=====

(4)
NaCeBiPb | PBE-GGA | optimized geometry

Structure (POSCAR):
```
NaCeBiPb
1.0
-0.9979 3.4269 4.2142
-2.6877 -1.8247 4.4660
2.6970 -0.6388 4.7767
Pb Na Bi Ce
1 1 1 1
direct
0.0000 0.0000 0.0000 Pb
0.2500 0.2500 0.2500 Na
0.5000 0.5000 0.5000 Bi
0.7500 0.7500 0.7500 Ce
```

Output
**Energy of formation**: -1.281 eV per formula unit

=====

| no. | density (g cm⁻³) | Fermi-level density of states (states/eV per cell) |
| --- | --- | --- |
| 1 | 6.8 | 20.86 |
| 2 | 5.6 | 5.08 |
| 3 | 5.6 | 15.79 |
| 4 | 8.1 | 6.47 |